PmPuTlAg, relaxed, DFT GGA-PBE; energy of formation from the pure elements = -90 meV per atom; space-group type = F-43m, No. 216
1.0
7.585 0.000 0.000
0.000 7.585 0.000
0.000 0.000 7.585
Pm Pu Tl Ag
4 4 4 4
direct
0.000 0.000 0.000 Pm
0.000 0.500 0.500 Pm
0.500 0.000 0.500 Pm
0.500 0.500 0.000 Pm
0.000 0.000 0.500 Pu
0.000 0.500 0.000 Pu
0.500 0.000 0.000 Pu
0.500 0.500 0.500 Pu
0.250 0.250 0.750 Tl
0.250 0.750 0.250 Tl
0.750 0.250 0.250 Tl
0.750 0.750 0.750 Tl
0.250 0.250 0.250 Ag
0.250 0.750 0.750 Ag
0.750 0.250 0.750 Ag
0.750 0.750 0.250 Ag

=====

RbPm2AgS4, relaxed, DFT GGA-PBE; space-group type = Cmcm, No. 63
1.0
2.081 -7.016 0.000
2.081 7.016 0.000
0.000 0.000 14.461
Rb Pm Ag S
2 4 2 8
direct
0.114 0.886 0.750 Rb
0.886 0.114 0.250 Rb
0.368 0.632 0.564 Pm
0.368 0.632 0.936 Pm
0.632 0.368 0.064 Pm
0.632 0.368 0.436 Pm
0.164 0.836 0.250 Ag
0.836 0.164 0.750 Ag
0.000 0.000 0.000 S
0.000 0.000 0.500 S
0.261 0.739 0.103 S
0.261 0.739 0.397 S
0.438 0.562 0.750 S
0.562 0.438 0.250 S
0.739 0.261 0.603 S
0.739 0.261 0.897 S

=====

RbPmAgS2, relaxed, DFT GGA-PBE; space-group type = P2/c, No. 13
1.0
7.692 0.000 0.000
0.000 5.120 0.000
-1.345 0.000 7.910
Rb Pm Ag S
2 2 2 4
direct
0.000 0.141 0.250 Rb
0.000 0.859 0.750 Rb
0.500 0.493 0.750 Pm
0.500 0.507 0.250 Pm
0.500 0.000 0.000 Ag
0.500 0.000 0.500 Ag
0.266 0.360 0.964 S
0.266 0.640 0.464 S
0.734 0.360 0.536 S
0.734 0.640 0.036 S

=====

RbPm2Ag2Se4, relaxed, DFT GGA-PBE; space-group type = C2/m, No. 12
1.0
7.855 -1.985 0.000
7.855 1.985 0.000
-3.694 0.000 7.577
Rb Pm Ag Se
1 2 2 4
direct
0.000 0.000 0.000 Rb
0.127 0.127 0.557 Pm
0.873 0.873 0.443 Pm
0.304 0.304 0.964 Ag
0.696 0.696 0.036 Ag
0.219 0.219 0.295 Se
0.465 0.465 0.288 Se
0.535 0.535 0.712 Se
0.781 0.781 0.705 Se

=====

RbPm2AgSe4, relaxed, DFT GGA-PBE; space-group type = Cmcm, No. 63
1.0
2.155 -7.284 0.000
2.155 7.284 0.000
0.000 0.000 15.052
Rb Pm Ag Se
2 4 2 8
direct
0.118 0.882 0.750 Rb
0.882 0.118 0.250 Rb
0.368 0.632 0.566 Pm
0.368 0.632 0.934 Pm
0.632 0.368 0.066 Pm
0.632 0.368 0.434 Pm
0.161 0.839 0.250 Ag
0.839 0.161 0.750 Ag
0.000 0.000 0.000 Se
0.000 0.000 0.500 Se
0.263 0.737 0.104 Se
0.263 0.737 0.396 Se
0.443 0.557 0.750 Se
0.557 0.443 0.250 Se
0.737 0.263 0.604 Se
0.737 0.263 0.896 Se

=====

RbPmAgTe2, relaxed, DFT GGA-PBE; space-group type = P2/c, No. 13
1.0
8.581 0.000 0.000
0.000 4.918 0.000
-0.740 0.000 8.945
Rb Pm Ag Te
2 2 2 4
direct
0.000 0.083 0.250 Rb
0.000 0.917 0.750 Rb
0.500 0.497 0.750 Pm
0.500 0.503 0.250 Pm
0.500 0.000 0.000 Ag
0.500 0.000 0.500 Ag
0.255 0.389 0.981 Te
0.255 0.611 0.481 Te
0.745 0.389 0.519 Te
0.745 0.611 0.019 Te

=====

| no. | E_tot (eV/f.u.) | magnetic moment (μB per cell) |
| --- | --- | --- |
| 1 | -24.66 | 23.95 |
| 2 | -42.49 | 0.00 |
| 3 | -22.25 | 0.00 |
| 4 | -39.97 | 0.00 |
| 5 | -39.16 | 0.00 |
| 6 | -18.99 | 0.00 |